VASP calculation (PBE) on crystalline PIr2Cl at its relaxed geometry.

Computed properties:
- Fermi-level density of states: 1.56 states/eV per atom
- Total DFT energy (no corrections): -5.5313 eV per atom
- Formation energy (no corrections): 2.85 eV/f.u.
- Magnetization: 0.00 Bohr magnetons per cell

Lattice parameters (Å, degrees): 4.341 4.341 4.341 60.00 60.00 60.00
Atoms (fractional coordinates):
P 0.000 0.000 0.000
Ir 0.250 0.250 0.250
Ir 0.750 0.750 0.750
Cl 0.500 0.500 0.500


VASP calculation (PBE) on crystalline P2IrCl at its relaxed geometry.

Computed properties:
- Fermi-level density of states: 0.41 states/eV per atom
- Total DFT energy (no corrections): -5.6654 eV per atom
- Formation energy (no corrections): -1.13 eV/f.u.
- Magnetization: 0.00 Bohr magnetons per cell

Lattice parameters (Å, degrees): 3.852 3.852 7.016 107.18 107.18 56.19
Atoms (fractional coordinates):
Cl 0.750 0.750 0.750
Ir 0.250 0.250 0.250
P 0.882 0.882 0.105
P 0.618 0.618 0.395


VASP calculation (PBE) on crystalline P2IrCl at its relaxed geometry.

Computed properties:
- Fermi-level density of states: 0.81 states/eV per atom
- Total DFT energy (no corrections): -5.0857 eV per atom
- Formation energy (no corrections): 1.18 eV/f.u.
- Magnetization: 0.00 Bohr magnetons per cell

Lattice parameters (Å, degrees): 3.096 3.143 7.177 90.00 90.00 90.00
Atoms (fractional coordinates):
Cl 0.000 0.000 0.551
Ir 0.500 0.500 0.815
P 0.000 0.000 0.984
P 0.500 0.500 0.149